Below is an optimized crystal structure of Sc2Cd2N, with properties calculated at the PBE level.

POSCAR file:
```
Sc2Cd2N
1.0
3.198 0.000 0.502
1.559 2.792 0.502
0.024 0.014 10.286
Sc Cd N
2 2 1
direct
0.373 0.373 0.880
0.627 0.627 0.120
0.875 0.875 0.374
0.125 0.125 0.626
0.000 0.000 0.000
```

Below is an optimized crystal structure of ScCd2N, with properties calculated at the PBE level.

POSCAR file:
```
ScCd2N
1.0
-7.517 -0.940 3.969
3.720 -4.993 5.862
-1.481 -1.251 6.112
Cd Sc N
4 2 2
direct
0.875 0.772 0.750
0.228 0.625 0.250
0.522 0.125 0.250
0.375 0.478 0.750
0.000 0.000 0.000
0.750 0.250 0.500
0.500 0.500 0.000
0.250 0.750 0.500
```

Below is an optimized crystal structure of Sc4Cd2N, with properties calculated at the PBE level.

POSCAR file:
```
Sc4Cd2N
1.0
-1.807 1.262 -2.121
3.390 -0.875 -3.410
-6.195 -9.315 -0.266
Cd Sc N
2 4 1
direct
0.500 0.157 0.315
0.500 0.843 0.685
0.000 0.296 0.593
0.000 0.704 0.407
0.500 0.433 0.867
0.500 0.567 0.133
0.000 0.500 0.000
```

Calculated values
relative energy among the computed polymorphs	4.587	kcal/mol of atoms

Below is an optimized crystal structure of ScCdN3, with properties calculated at the PBE level.

POSCAR file:
```
ScCdN3
1.0
-3.695 -1.004 1.324
0.154 -3.421 -2.166
1.655 -1.925 3.158
N Sc Cd
3 1 1
direct
0.000 0.500 0.000
0.000 0.000 0.500
0.500 0.000 0.000
0.500 0.500 0.500
0.000 0.000 0.000
```

Below is an optimized crystal structure of SrSc2CdN, with properties calculated at the PBE level.

POSCAR file:
```
SrSc2CdN
1.0
-2.559 3.572 -1.043
0.836 -0.682 -4.385
-4.237 -3.129 -0.322
Cd N Sc Sr
1 1 2 1
direct
0.500 0.500 0.500
0.000 0.000 0.000
0.000 0.500 0.000
0.500 0.000 0.000
0.000 0.000 0.500
```

Below is an optimized crystal structure of Sc2TaCdN, with properties calculated at the PBE level.

POSCAR file:
```
Sc2TaCdN
1.0
-1.271 2.691 3.356
3.230 -1.714 2.598
2.688 2.982 -1.374
Sc N Ta Cd
2 1 1 1
direct
0.500 0.000 0.000
0.000 0.500 0.000
0.000 0.000 0.000
0.000 0.000 0.500
0.500 0.500 0.500
```

| no. | formation energy from raw total energies (eV/atom) |
| --- | --- |
| 1 | -0.84 |
| 2 | -0.07 |
| 3 | -0.39 |
| 4 | 1.48 |
| 5 | -0.64 |
| 6 | -0.74 |